# 1
Density functional theory data (GGA-PBE) for crystalline Na2In3SnHg3 at its relaxed geometry.

abc: 3.413 9.093 9.093
angles: 120.00 90.00 90.00
Fractional positions:
Hg (0.000, 0.369, 0.000)
Na (0.500, 0.667, 0.333)
In (0.500, 0.000, 0.712)
In (0.500, 0.712, 0.000)
Na (0.500, 0.333, 0.667)
Sn (0.000, 0.000, 0.000)
In (0.500, 0.288, 0.288)
Hg (0.000, 0.631, 0.631)
Hg (0.000, 0.000, 0.369)

Computed properties:
VASP energy: -16.41 eV for the cell shown
Formation energy from the elements: -0.072 eV per atom
Crystal system: hexagonal
SG: P-62m (189)

***

# 2
Density functional theory data (GGA-PBE) for crystalline Hg2TeI at its relaxed geometry.

abc: 5.515 5.515 5.515
angles: 60.00 60.00 60.00
Fractional positions:
Te (0.000, 0.000, 0.000)
I (0.500, 0.500, 0.500)
Hg (0.750, 0.750, 0.750)
Hg (0.250, 0.250, 0.250)

Computed properties:
VASP energy: -4.53 eV for the cell shown
Crystal system: cubic
SG: Fm-3m (225)
Energy relative to the elements, uncorrected: 0.191 eV/atom

***

# 3
Density functional theory data (GGA-PBE) for crystalline MgAs2Ir at its relaxed geometry.

abc: 4.064 2.930 6.462
angles: 89.91 90.00 90.00
Fractional positions:
Ir (0.000, 0.250, 0.535)
As (0.500, 0.252, 0.316)
Mg (0.500, 0.749, 0.727)
As (0.000, 0.248, 0.922)

Computed properties:
VASP energy: -20.27 eV for the cell shown
Formation energy from the elements: -0.130 eV per atom
Crystal system: monoclinic
SG: Pm (6)

***

# 4
Density functional theory data (GGA-PBE) for crystalline La2CePuN4 at its relaxed geometry.

abc: 3.609 6.263 6.310
angles: 109.58 90.00 90.00
Each line ends with the local moment (μB).
Fractional positions:
La (0.000, 0.500, 0.500)  0.08
N (0.500, 0.231, 0.218)  -0.13
N (0.500, 0.769, 0.782)  -0.13
N (0.000, 0.744, 0.225)  -0.06
Pu (0.000, 0.000, 0.000)  4.52
N (0.000, 0.256, 0.775)  -0.06
La (0.500, 0.000, 0.500)  0.07
Ce (0.500, 0.500, 0.000)  0.27

Computed properties:
VASP energy: -74.18 eV for the cell shown
Crystal system: monoclinic
SG: P2/m (10)
Energy relative to the elements, uncorrected: -1.345 eV/atom

***

- Among the records above, which one has the highest VASP energy?
  Hg2TeI

***

- What is the formula in the second record?
  Hg2TeI